1.
TlGe3H (PBE, optimized geometry); mass density = 4.2 g/cm³; calculated volume = 166.1 Å³ per cell; energy = -12.24 eV/cell
1.0
5.497 0.000 0.000
0.000 5.497 0.000
0.000 0.000 5.497
H Tl Ge
1 1 3
direct
0.500 0.500 0.500
0.000 0.000 0.000
0.000 0.500 0.000
0.000 0.000 0.500
0.500 0.000 0.000


2.
TlGeH3 (PBE, optimized geometry); mass density = 6.8 g/cm³; calculated volume = 68.4 Å³ per cell; energy = -12.53 eV/cell
1.0
-2.902 -1.206 2.616
-1.758 -2.200 -2.965
2.282 -3.229 1.043
H Tl Ge
3 1 1
direct
0.000 0.500 0.000
0.000 0.000 0.500
0.500 0.000 0.000
0.000 0.000 0.000
0.500 0.500 0.500


3.
TlGeH (PBE, optimized geometry); mass density = 7.1 g/cm³; calculated volume = 129.9 Å³ per cell; energy = -18.66 eV/cell
1.0
3.103 0.000 0.000
-1.552 4.674 -1.722
0.000 -4.718 10.693
H Tl Ge
2 2 2
direct
0.146 0.293 0.025
0.854 0.707 0.975
0.865 0.729 0.312
0.135 0.271 0.688
0.988 0.976 0.833
0.012 0.024 0.167